Record 1
DFT (PBE) results for a relaxed structure of Be2TlMo.

The structure in POSCAR format:
```
Be2TlMo
1.0
6.425 -0.010 -0.025
-2.545 3.646 -0.008
1.334 0.936 2.417
Mo Be Tl
1 2 1
Direct
0.000 0.500 0.500
0.500 0.000 0.500
0.000 0.000 0.000
0.500 0.500 0.000
```

Properties
total magnetization	0.000	μB/atom
E_form	563.0	meV/atom

---

Record 2
DFT (PBE) results for a relaxed structure of BeTlMo3.

The structure in POSCAR format:
```
BeTlMo3
1.0
4.962 0.000 0.000
0.000 4.962 0.000
0.000 0.000 4.962
Tl Mo Be
1 3 1
Direct
0.000 0.000 0.000
0.000 0.000 0.500
0.500 0.000 0.000
0.000 0.500 0.000
0.500 0.500 0.500
```

Properties
total magnetization	0.000	μB/atom
E_form	3005.3	meV/atom

---

Record 3
DFT (PBE) results for a relaxed structure of Be2TlMo.

The structure in POSCAR format:
```
Be2TlMo
1.0
0.000 3.011 3.011
3.011 0.000 3.011
3.011 3.011 0.000
Be Mo Tl
2 1 1
Direct
0.250 0.250 0.250
0.750 0.750 0.750
0.000 0.000 0.000
0.500 0.500 0.500
```

Properties
total magnetization	0.000	μB/atom
E_form	692.6	meV/atom

---

Record 4
DFT (PBE) results for a relaxed structure of BeTl2Mo.

The structure in POSCAR format:
```
BeTl2Mo
1.0
4.327 0.000 0.000
0.000 3.001 -0.016
0.000 0.066 5.852
Be Tl Mo
1 2 1
Direct
0.500 0.250 0.250
0.000 0.238 0.000
0.000 0.262 0.500
0.500 0.750 0.750
```

Properties
total magnetization	0.000	μB/atom
E_form	903.5	meV/atom

---

Number 1: uncorrected energy -4.60 eV/atom, polymorph energy (0 for the lowest one) 158 meV per atom. Number 2: uncorrected energy -4.71 eV/atom, polymorph energy (0 for the lowest one) 2200 meV per atom. Number 3: uncorrected energy -4.47 eV/atom, polymorph energy (0 for the lowest one) 287 meV per atom. Number 4: uncorrected energy -3.92 eV/atom, polymorph energy (0 for the lowest one) 340 meV per atom.